## Mg2CuHg (GGA-PBE)

Data for a relaxed Mg2CuHg crystal.

Cell lengths 3.3482, 3.6200, 6.1820 Å; angles 90.00, 90.00, 90.00 degrees
Atoms (fractional coordinates):
Mg 0.0000 0.0000 0.9899
Mg 0.5000 0.5000 0.2859
Hg 0.5000 0.5000 0.7424
Cu 0.0000 0.0000 0.4818

Values from the calculation:
SG   Pmm2
ρ   6931 kg/m³
Formation energy   -0.060 eV/atom
N(E_F)   0.8 states/eV/f.u.